No. 1
{
  "formula": "BaRuO3",
  "functional": "PBE-GGA",
  "state": "optimized geometry",
  "lattice_angstrom": [[2.907, -5.035, 0.000], [2.907, 5.035, 0.000], [0.000, 0.000, 9.619]],
  "species": ["Ba", "Ba", "Ba", "Ba", "Ru", "Ru", "Ru", "Ru", "O", "O", "O", "O", "O", "O", "O", "O", "O", "O", "O", "O"],
  "fractional_positions": [[0.667, 0.333, 0.750], [0.333, 0.667, 0.250], [0.000, 0.000, 0.500], [0.000, 0.000, 0.000], [0.667, 0.333, 0.383], [0.333, 0.667, 0.883], [0.333, 0.667, 0.617], [0.667, 0.333, 0.117], [0.644, 0.822, 0.750], [0.822, 0.644, 0.250], [0.822, 0.178, 0.250], [0.178, 0.822, 0.750], [0.178, 0.356, 0.750], [0.356, 0.178, 0.250], [0.500, 0.500, 0.500], [0.000, 0.500, 0.000], [0.500, 0.500, 0.000], [0.000, 0.500, 0.500], [0.500, 0.000, 0.500], [0.500, 0.000, 0.000]],
  "formation_energy_uncorrected_ev_per_fu": -8.80,
  "mass_density_g_cm3": 6.75,
  "sg": "P6_3/mmc, No. 194",
  "n_ef_per_ev_cell": 11.8,
  "magmom_total_mub_per_atom": 0.1376,
  "energy_ev_per_atom": -6.974
}

No. 2
{
  "formula": "NbTcHRh2",
  "functional": "PBE-GGA",
  "state": "optimized geometry",
  "lattice_angstrom": [[-2.218, 1.533, -2.841], [-3.084, 0.012, 2.414], [0.988, 3.734, 1.244]],
  "species": ["H", "Nb", "Rh", "Rh", "Tc"],
  "fractional_positions": [[0.000, 0.000, 0.000], [0.500, 0.500, 0.500], [0.000, 0.500, 0.000], [0.500, 0.000, 0.000], [0.000, 0.000, 0.500]],
  "mass_density_g_cm3": 10.61,
  "sg": "P4/mmm, No. 123",
  "n_ef_per_ev_cell": 3.9,
  "de_polymorph_mev_per_atom": 0,
  "magmom_total_mub_per_atom": 0.0000,
  "energy_ev_per_atom": -7.998
}